(1)
First-principles (PBE) data for GaSb2AsN after structural relaxation, as listed in Alexandria via LeMat-Bulk.

Cell lengths 5.5872, 3.5593, 5.5872 Å; angles 90.00, 90.00, 90.00 degrees
Closest atoms and distances in Å follow each position.
Sites, in units of the cell vectors:
N 0.0000 0.5000 0.0000  2 Ga 1.78
Ga 0.0000 0.0000 0.0000  2 N 1.78
As 0.5000 0.5000 0.5000  8 Sb 3.31, 2 As 3.56
Sb 0.5000 0.0000 0.0000  2 Ga 2.79
Sb 0.0000 0.0000 0.5000  2 Ga 2.79

Values from the calculation:
- M_tot (μB/f.u.) = 0.00
- N(E_F) (states/eV per cell) = 3.330
- formation energy without anion corrections (kcal/mol of atoms) = 17.51


(2)
First-principles (PBE) data for GaAsSe2N after structural relaxation, as listed in Alexandria via LeMat-Bulk.

Cell lengths 5.0214, 5.0214, 4.9744 Å; angles 90.00, 90.00, 90.00 degrees
Closest atoms and distances in Å follow each position.
Sites, in units of the cell vectors:
Se 0.0000 0.5000 0.0000  2 Ga 2.51
N 0.5000 0.5000 0.5000  8 Se 3.53, 4 As 3.55
Ga 0.0000 0.0000 0.0000  2 As 2.49, 4 Se 2.51
Se 0.5000 0.0000 0.0000  2 Ga 2.51
As 0.0000 0.0000 0.5000  2 Ga 2.49

Values from the calculation:
- M_tot (μB/f.u.) = 2.27
- N(E_F) (states/eV per cell) = 4.679
- formation energy without anion corrections (kcal/mol of atoms) = 34.13
- energy relative to the lowest polymorph listed for this composition (meV per atom) = 791


(3)
First-principles (PBE) data for GaAsSe2N after structural relaxation, as listed in Alexandria via LeMat-Bulk.

Cell lengths 4.6040, 4.6040, 4.2907 Å; angles 90.00, 90.00, 90.00 degrees
Closest atoms and distances in Å follow each position.
Sites, in units of the cell vectors:
Ga 0.5000 0.5000 0.5000  8 Se 3.15, 4 As 3.26
Se 0.5000 0.0000 0.0000  2 N 2.30
As 0.0000 0.0000 0.5000  2 N 2.15
Se 0.0000 0.5000 0.0000  2 N 2.30
N 0.0000 0.0000 0.0000  2 As 2.15, 4 Se 2.30

Values from the calculation:
- M_tot (μB/f.u.) = 0.00
- N(E_F) (states/eV per cell) = 4.813
- formation energy without anion corrections (kcal/mol of atoms) = 18.05
- energy relative to the lowest polymorph listed for this composition (meV per atom) = 94


(4)
First-principles (PBE) data for GaAsSe2N after structural relaxation, as listed in Alexandria via LeMat-Bulk.

Cell lengths 5.1376, 5.1376, 3.6802 Å; angles 90.00, 90.00, 90.00 degrees
Closest atoms and distances in Å follow each position.
Sites, in units of the cell vectors:
Se 0.0000 0.5000 0.0000  2 Ga 2.57
Se 0.5000 0.0000 0.0000  2 Ga 2.57
N 0.0000 0.0000 0.5000  2 Ga 1.84
As 0.5000 0.5000 0.5000  8 Se 3.16
Ga 0.0000 0.0000 0.0000  2 N 1.84

Values from the calculation:
- M_tot (μB/f.u.) = 1.65
- N(E_F) (states/eV per cell) = 2.393
- formation energy without anion corrections (kcal/mol of atoms) = 17.26
- energy relative to the lowest polymorph listed for this composition (meV per atom) = 60


(5)
First-principles (PBE) data for GaAsSe2N after structural relaxation, as listed in Alexandria via LeMat-Bulk.

Cell lengths 5.2292, 5.2292, 3.6378 Å; angles 90.00, 90.00, 90.00 degrees
Closest atoms and distances in Å follow each position.
Sites, in units of the cell vectors:
N 0.0000 0.0000 0.5000  2 As 1.82
Se 0.0000 0.5000 0.0000  2 As 2.61
Se 0.5000 0.0000 0.0000  2 As 2.61
Ga 0.5000 0.5000 0.5000  8 Se 3.19
As 0.0000 0.0000 0.0000  2 N 1.82

Values from the calculation:
- M_tot (μB/f.u.) = 0.00
- N(E_F) (states/eV per cell) = 4.611
- formation energy without anion corrections (kcal/mol of atoms) = 15.89
- energy relative to the lowest polymorph listed for this composition (meV per atom) = 0


(6)
First-principles (PBE) data for GaAs2SeN after structural relaxation, as listed in Alexandria via LeMat-Bulk.

Cell lengths 4.3592, 4.3592, 4.6316 Å; angles 90.00, 90.00, 90.00 degrees
Closest atoms and distances in Å follow each position.
Sites, in units of the cell vectors:
As 0.5000 0.0000 0.0000  2 N 2.18
N 0.0000 0.0000 0.0000  4 As 2.18, 2 Se 2.32
As 0.0000 0.5000 0.0000  2 N 2.18
Ga 0.5000 0.5000 0.5000  4 Se 3.08, 8 As 3.18
Se 0.0000 0.0000 0.5000  2 N 2.32

Values from the calculation:
- M_tot (μB/f.u.) = 0.00
- N(E_F) (states/eV per cell) = 3.485
- formation energy without anion corrections (kcal/mol of atoms) = 17.42
- energy relative to the lowest polymorph listed for this composition (meV per atom) = 0